! Rb2NbAg | Alexandria via LeMat-Bulk | PBE | optimized geometry; values from VASP
! symmetry: I-42d (122)
! DOS(E_F): 11.483 states/eV per cell
! total magnetization: 1.1219 μB per atom
! energy: -2.57 eV/atom
&SYSTEM
  ibrav = 0, nat = 8, ntyp = 3
/
ATOMIC_SPECIES
Nb 92.91 Nb.upf
Rb 85.47 Rb.upf
Ag 107.87 Ag.upf
ATOMIC_POSITIONS crystal
Nb 0.500 0.500 0.000
Nb 0.250 0.750 0.500
Rb 0.780 0.125 0.250
Rb 0.970 0.625 0.250
Rb 0.375 0.220 0.750
Rb 0.875 0.030 0.750
Ag 0.000 0.000 0.000
Ag 0.750 0.250 0.500
CELL_PARAMETERS angstrom
-10.047 -5.419 5.718
6.390 -0.185 11.052
-2.820 -0.315 9.000

=====

! Sm4Pt3Rh | Alexandria via LeMat-Bulk | PBE | optimized geometry; values from VASP
! symmetry: Pmm2 (25)
! DOS(E_F): 4.783 states/eV per cell
! total magnetization: 0.0000 μB per atom
! energy: -6.63 eV/atom
&SYSTEM
  ibrav = 0, nat = 8, ntyp = 3
/
ATOMIC_SPECIES
Sm 150.36 Sm.upf
Pt 195.08 Pt.upf
Rh 102.91 Rh.upf
ATOMIC_POSITIONS crystal
Sm 0.500 0.500 0.356
Sm 0.000 0.500 0.864
Sm 0.000 0.000 0.138
Sm 0.500 0.000 0.638
Pt 0.000 0.500 0.587
Pt 0.000 0.000 0.413
Pt 0.500 0.000 0.915
Rh 0.500 0.500 0.089
CELL_PARAMETERS angstrom
3.867 0.000 0.000
0.000 4.474 0.000
0.000 0.000 10.774

=====

! GdLu2Ti | Alexandria via LeMat-Bulk | PBE | optimized geometry; values from VASP
! symmetry: P4/mmm (123)
! DOS(E_F): 5.363 states/eV per cell
! total magnetization: 1.5837 μB per atom
! energy: -7.58 eV/atom
&SYSTEM
  ibrav = 0, nat = 4, ntyp = 3
/
ATOMIC_SPECIES
Gd 157.25 Gd.upf
Lu 174.97 Lu.upf
Ti 47.87 Ti.upf
ATOMIC_POSITIONS crystal
Gd 0.500 0.500 0.500
Lu 0.000 0.000 0.500
Lu 0.000 0.500 0.000
Ti 0.500 0.000 0.000
CELL_PARAMETERS angstrom
4.739 0.000 0.000
0.000 4.720 0.000
0.000 0.000 4.720

=====

! LiGaTc | Alexandria via LeMat-Bulk | PBE | optimized geometry; values from VASP
! symmetry: P1 (1)
! DOS(E_F): 2.420 states/eV per cell
! total magnetization: 0.0000 μB per atom
! energy: -5.25 eV/atom
&SYSTEM
  ibrav = 0, nat = 6, ntyp = 3
/
ATOMIC_SPECIES
Li 6.94 Li.upf
Ga 69.72 Ga.upf
Tc 98.00 Tc.upf
ATOMIC_POSITIONS crystal
Li 0.288 0.114 0.443
Li 0.617 0.813 0.442
Ga 0.968 0.461 0.472
Ga 0.702 0.650 0.945
Tc 0.030 0.296 0.964
Tc 0.379 0.009 0.942
CELL_PARAMETERS angstrom
-2.657 3.207 -1.526
-1.064 -1.866 4.244
4.515 2.092 1.253

=====

! Tb3Tm4Zn4 | Alexandria via LeMat-Bulk | PBE | optimized geometry; values from VASP
! symmetry: Immm (71)
! DOS(E_F): 7.876 states/eV per cell
! total magnetization: 0.0000 μB per atom
! energy: -3.50 eV/atom
&SYSTEM
  ibrav = 0, nat = 11, ntyp = 3
/
ATOMIC_SPECIES
Tb 158.93 Tb.upf
Tm 168.93 Tm.upf
Zn 65.41 Zn.upf
ATOMIC_POSITIONS crystal
Tb 0.103 0.103 0.206
Tb 0.897 0.897 0.794
Tb 0.000 0.500 0.000
Tm 0.321 0.090 0.642
Tm 0.679 0.448 0.358
Tm 0.679 0.910 0.358
Tm 0.321 0.552 0.642
Zn 0.185 0.685 0.370
Zn 0.815 0.315 0.630
Zn 0.500 0.815 0.000
Zn 0.500 0.185 0.000
CELL_PARAMETERS angstrom
-3.811 -0.899 -3.179
1.901 -6.666 -0.393
-3.796 2.063 7.969

=====

! GaAg | Alexandria via LeMat-Bulk | PBE | optimized geometry; values from VASP
! symmetry: Amm2 (38)
! DOS(E_F): 2.661 states/eV per cell
! total magnetization: 0.0000 μB per atom
! energy: -2.93 eV/atom
&SYSTEM
  ibrav = 0, nat = 12, ntyp = 2
/
ATOMIC_SPECIES
Ga 69.72 Ga.upf
Ag 107.87 Ag.upf
ATOMIC_POSITIONS crystal
Ga 0.500 0.881 0.563
Ga 0.500 0.119 0.563
Ga 0.500 0.381 0.063
Ga 0.500 0.619 0.063
Ga 0.000 0.000 0.260
Ga 0.000 0.500 0.760
Ag 0.000 0.230 0.846
Ag 0.000 0.770 0.846
Ag 0.000 0.730 0.346
Ag 0.000 0.270 0.346
Ag 0.500 0.000 0.924
Ag 0.500 0.500 0.424
CELL_PARAMETERS angstrom
2.971 0.000 0.000
0.000 11.137 0.000
0.000 0.000 6.748

=====

! K2Ta2RhSe6 | Alexandria via LeMat-Bulk | PBE | optimized geometry; values from VASP
! symmetry: C2/m (12)
! DOS(E_F): 4.938 states/eV per cell
! total magnetization: 0.0721 μB per atom
! energy: -5.70 eV/atom
! ΔE_f (raw): -828 kJ/mol of formula units
&SYSTEM
  ibrav = 0, nat = 11, ntyp = 4
/
ATOMIC_SPECIES
K 39.10 K.upf
Ta 180.95 Ta.upf
Rh 102.91 Rh.upf
Se 78.96 Se.upf
ATOMIC_POSITIONS crystal
K 0.821 0.179 0.000
K 0.179 0.821 0.000
Ta 0.367 0.633 0.500
Ta 0.633 0.367 0.500
Rh 0.000 0.000 0.500
Se 0.731 0.731 0.719
Se 0.035 0.381 0.673
Se 0.269 0.269 0.281
Se 0.381 0.035 0.673
Se 0.965 0.619 0.327
Se 0.619 0.965 0.327
CELL_PARAMETERS angstrom
-3.027 -2.920 4.836
6.386 0.543 -0.069
-1.505 7.706 2.554

=====

! Sc2PtBr | Alexandria via LeMat-Bulk | PBE | optimized geometry; values from VASP
! symmetry: P4/mmm (123)
! DOS(E_F): 2.661 states/eV per cell
! total magnetization: 0.0000 μB per atom
! energy: -6.01 eV/atom
! ΔE_f (raw): -355 kJ/mol of formula units
&SYSTEM
  ibrav = 0, nat = 4, ntyp = 3
/
ATOMIC_SPECIES
Br 79.90 Br.upf
Pt 195.08 Pt.upf
Sc 44.96 Sc.upf
ATOMIC_POSITIONS crystal
Br 0.000 0.000 0.375
Pt 0.500 0.500 0.875
Sc 0.000 0.000 0.875
Sc 0.500 0.500 0.375
CELL_PARAMETERS angstrom
-0.699 0.769 -3.720
1.304 -3.501 -0.968
-5.187 -2.083 0.544